A relaxed structure of Li3V2Fe3O10. Source: Alexandria, functional PBE with a Hubbard U.

Cell and atoms, written as POSCAR:
```
Li3V2Fe3O10
1.0
5.140 0.000 0.000
1.155 5.046 0.000
2.162 1.700 7.368
Li V Fe O
3 2 3 10
Direct
0.000 0.000 0.000
0.475 0.690 0.113
0.525 0.310 0.887
0.017 0.379 0.189
0.983 0.621 0.811
0.038 0.191 0.598
0.500 0.500 0.500
0.962 0.809 0.402
0.187 0.037 0.175
0.211 0.606 0.982
0.215 0.822 0.560
0.231 0.453 0.359
0.255 0.306 0.729
0.745 0.694 0.271
0.769 0.547 0.641
0.785 0.178 0.440
0.789 0.394 0.018
0.813 0.963 0.825
```

Properties
Crystal system: triclinic
Space group: P-1 (2)
Raw total energy: -6.642 eV per atom